Record 1
CsLaVO4 | GGA+U | relaxed

Calculated values
- Crystal system: monoclinic
- Mass density: 4.323 g cm⁻³
- D(E_F): 0.00 states/eV per cell

a b c (Å): 6.2637 6.1287 8.0847
angles (deg): 90.00 106.82 90.00
Last column: nearest neighbours and their distance in Å.
Atoms (fractional coordinates):
Cs (0.2145, 0.2500, 0.4325)  4 O 2.96-3.31
Cs (0.7855, 0.7500, 0.5675)  4 O 2.96-3.31
La (0.3073, 0.2500, 0.9539)  6 O 2.37-2.60
La (0.6927, 0.7500, 0.0461)  6 O 2.37-2.60
V (0.2257, 0.7500, 0.1473)  4 O 1.75-1.90
V (0.7743, 0.2500, 0.8527)  4 O 1.75-1.90
O (0.0448, 0.7500, 0.9372)  1 V 1.75
O (0.0603, 0.7500, 0.2930)  1 V 1.78
O (0.4411, 0.5269, 0.1628)  1 V 1.90
O (0.4411, 0.9731, 0.1628)  1 V 1.90
O (0.5589, 0.0269, 0.8372)  1 V 1.90
O (0.5589, 0.4731, 0.8372)  1 V 1.90
O (0.9397, 0.2500, 0.7070)  1 V 1.78
O (0.9552, 0.2500, 0.0628)  1 V 1.75

***

Record 2
Cs3LaV2O8 | GGA+U | relaxed

Calculated values
- Crystal system: trigonal
- Mass density: 4.329 g cm⁻³
- D(E_F): 0.00 states/eV per cell

a b c (Å): 6.3243 6.3243 8.4991
angles (deg): 90.00 90.00 120.00
Last column: nearest neighbours and their distance in Å.
Atoms (fractional coordinates):
Cs (0.0000, 0.0000, 0.0000)  12 O 3.47-3.70
Cs (0.3333, 0.6667, 0.7236)  7 O 2.93-3.20
Cs (0.6667, 0.3333, 0.2764)  7 O 2.93-3.20
La (0.0000, 0.0000, 0.5000)  6 O 2.42
V (0.3333, 0.6667, 0.2676)  4 O 1.69-1.77
V (0.6667, 0.3333, 0.7324)  4 O 1.69-1.77
O (0.1804, 0.3607, 0.3351)  1 V 1.77
O (0.1804, 0.8196, 0.3351)  1 V 1.77
O (0.3333, 0.6667, 0.0686)  1 V 1.69
O (0.3607, 0.1804, 0.6649)  1 V 1.77
O (0.6393, 0.8196, 0.3351)  1 V 1.77
O (0.6667, 0.3333, 0.9314)  1 V 1.69
O (0.8196, 0.1804, 0.6649)  1 V 1.77
O (0.8196, 0.6393, 0.6649)  1 V 1.77

***

Record 3
Cs4La3VO8 | GGA+U | relaxed

Calculated values
- Crystal system: monoclinic
- Mass density: 5.826 g cm⁻³

a b c (Å): 7.3758 7.3758 8.0902
angles (deg): 117.12 117.12 58.98
Last column: nearest neighbours and their distance in Å.
Atoms (fractional coordinates):
Cs (0.0000, 0.0000, 0.0000)  6 O 3.06-3.33
Cs (0.0000, 0.5000, 0.0000)  6 O 3.06-3.13
Cs (0.5000, 0.0000, 0.0000)  6 O 3.06-3.13
Cs (0.5000, 0.5000, 0.0000)  6 O 3.08-3.15
La (0.0000, 0.0000, 0.5000)  6 O 2.42-2.49
La (0.0000, 0.5000, 0.5000)  6 O 2.42-2.52
La (0.5000, 0.0000, 0.5000)  6 O 2.42-2.52
V (0.5000, 0.5000, 0.5000)  4 O 2.15
O (0.2208, 0.2208, 0.6706)  3 La 2.42-2.43
O (0.2588, 0.6982, 0.6571)  1 V 2.15
O (0.2708, 0.2708, 0.3205)  2 La 2.42, 1 V 2.51
O (0.3018, 0.7412, 0.3429)  1 V 2.15
O (0.6982, 0.2588, 0.6571)  1 V 2.15
O (0.7292, 0.7292, 0.6795)  2 La 2.42, 1 V 2.51
O (0.7412, 0.3018, 0.3429)  1 V 2.15
O (0.7792, 0.7792, 0.3294)  3 La 2.42-2.43

***

Record 4
CsLaW2O8 | GGA+U | relaxed

Calculated values
- Crystal system: trigonal
- Mass density: 4.732 g cm⁻³
- D(E_F): 0.00 states/eV per cell

a b c (Å): 9.3828 9.3828 9.3828
angles (deg): 37.10 37.10 37.10
Last column: nearest neighbours and their distance in Å.
Atoms (fractional coordinates):
Cs (0.0000, 0.0000, 0.0000)  12 O 3.50-3.76
La (0.5000, 0.5000, 0.5000)  6 O 2.41
W (0.2425, 0.2425, 0.2425)  4 O 1.78-1.83
W (0.7575, 0.7575, 0.7575)  4 O 1.78-1.83
O (0.0893, 0.5129, 0.7368)  1 W 1.83
O (0.2632, 0.9107, 0.4871)  1 W 1.83
O (0.3106, 0.3106, 0.3106)  1 W 1.78
O (0.4871, 0.2632, 0.9107)  1 W 1.83
O (0.5129, 0.7368, 0.0893)  1 W 1.83
O (0.6894, 0.6894, 0.6894)  1 W 1.78
O (0.7368, 0.0893, 0.5129)  1 W 1.83
O (0.9107, 0.4871, 0.2632)  1 W 1.83

***

Record 5
CsLaW2O8 | GGA+U | relaxed

Calculated values
- Crystal system: monoclinic
- Mass density: 6.953 g cm⁻³
- D(E_F): 0.00 states/eV per cell

a b c (Å): 7.9011 7.9011 7.6565
angles (deg): 117.02 117.02 89.87
Last column: nearest neighbours and their distance in Å.
Atoms (fractional coordinates):
Cs (0.2003, 0.7997, 0.7500)  10 O 3.02-3.15
Cs (0.7997, 0.2003, 0.2500)  10 O 3.02-3.15
La (0.2240, 0.7760, 0.2500)  6 O 2.43-2.49
La (0.7760, 0.2240, 0.7500)  6 O 2.43-2.49
W (0.3055, 0.3159, 0.2849)  4 O 1.84-2.02
W (0.3159, 0.3055, 0.7849)  4 O 1.84-2.02
W (0.6841, 0.6945, 0.2151)  4 O 1.84-2.02
W (0.6945, 0.6841, 0.7151)  4 O 1.84-2.02
O (0.0595, 0.2266, 0.7024)  1 W 1.84
O (0.0706, 0.3734, 0.1388)  1 W 1.86
O (0.2266, 0.0595, 0.2024)  1 W 1.84
O (0.2588, 0.3754, 0.5659)  1 W 1.86
O (0.3734, 0.0706, 0.6388)  1 W 1.86
O (0.3754, 0.2588, 0.0659)  1 W 1.86
O (0.3759, 0.5866, 0.0301)  2 W 2.02-2.11
O (0.4134, 0.6241, 0.4699)  2 W 2.02-2.11
O (0.5866, 0.3759, 0.5301)  2 W 2.02-2.11
O (0.6241, 0.4134, 0.9699)  2 W 2.02-2.11
O (0.6246, 0.7412, 0.9341)  1 W 1.86
O (0.6266, 0.9294, 0.3612)  1 W 1.86
O (0.7412, 0.6246, 0.4341)  1 W 1.86
O (0.7734, 0.9405, 0.7976)  1 W 1.84
O (0.9294, 0.6266, 0.8612)  1 W 1.86
O (0.9405, 0.7734, 0.2976)  1 W 1.84

***

Record 6
Cs2LaWO6 | GGA+U | relaxed

Calculated values
- Crystal system: trigonal
- Mass density: 4.431 g cm⁻³
- D(E_F): 1.07 states/eV per cell

a b c (Å): 6.9016 6.9016 6.2192
angles (deg): 90.00 90.00 120.00
Last column: nearest neighbours and their distance in Å.
Atoms (fractional coordinates):
Cs (0.3333, 0.6667, 0.4010)  3 O 3.06
Cs (0.6667, 0.3333, 0.5990)  3 O 3.06
La (0.0000, 0.0000, 0.0000)  6 O 2.44
W (0.0000, 0.0000, 0.5000)  6 O 1.96
O (0.1286, 0.2571, 0.6956)  1 W 1.96
O (0.1286, 0.8714, 0.6956)  1 W 1.96
O (0.2571, 0.1286, 0.3044)  1 W 1.96
O (0.7429, 0.8714, 0.6956)  1 W 1.96
O (0.8714, 0.1286, 0.3044)  1 W 1.96
O (0.8714, 0.7429, 0.3044)  1 W 1.96

***

no.,electronic total energy (eV/f.u.),magnetic moment (μB/atom)
1,-50.2,0.14
2,-94.5,0.00
3,-101.6,0.12
4,-88.1,0.00
5,-88.9,0.00
6,-64.5,0.11